(1)
# AlAg6, relaxed, DFT PBE
# **E above lowest polymorph**: 0 meV/atom
# **Total energy**: -20.9 eV per cell
# **Magnetization**: 0.0 μB/f.u.
# **Formation enthalpy at 0 K**: -0.011 eV per atom
# **Calculated volume**: 123 Å³ per cell
# **Space-group type**: C2/m, No. 12
data_AlAg6
_space_group_name_H-M_alt 'P 1'
_space_group_IT_number 1
_cell_length_a 5.0723
_cell_length_b 5.0723
_cell_length_c 6.3807
_cell_angle_alpha 96.87
_cell_angle_beta 96.87
_cell_angle_gamma 48.99
loop_
_space_group_symop_operation_xyz
'x,y,z'
loop_
_atom_site_label
_atom_site_type_symbol
_atom_site_fract_x
_atom_site_fract_y
_atom_site_fract_z
Al1 Al 0.0000 0.0000 0.0000
Ag1 Ag 0.1433 0.1433 0.4192
Ag2 Ag 0.2787 0.2787 0.8585
Ag3 Ag 0.4355 0.4355 0.2799
Ag4 Ag 0.5645 0.5645 0.7201
Ag5 Ag 0.7213 0.7213 0.1415
Ag6 Ag 0.8567 0.8567 0.5808

***

(2)
# BeAl2Co2, relaxed, DFT PBE
# **E above lowest polymorph**: 220 meV/atom
# **Total energy**: -52.4 eV per cell
# **Magnetization**: 0.0 μB/f.u.
# **Formation enthalpy at 0 K**: -0.158 eV per atom
# **Calculated volume**: 121 Å³ per cell
# **Space-group type**: P4/mbm, No. 127
data_BeAl2Co2
_space_group_name_H-M_alt 'P 1'
_space_group_IT_number 1
_cell_length_a 6.6592
_cell_length_b 6.6592
_cell_length_c 2.7231
_cell_angle_alpha 90.00
_cell_angle_beta 90.00
_cell_angle_gamma 90.00
loop_
_space_group_symop_operation_xyz
'x,y,z'
loop_
_atom_site_label
_atom_site_type_symbol
_atom_site_fract_x
_atom_site_fract_y
_atom_site_fract_z
Be1 Be 0.0000 0.0000 0.0000
Be2 Be 0.5000 0.5000 0.0000
Al1 Al 0.1395 0.3605 0.0000
Al2 Al 0.3605 0.8605 0.0000
Al3 Al 0.6395 0.1395 0.0000
Al4 Al 0.8605 0.6395 0.0000
Co1 Co 0.1597 0.6597 0.5000
Co2 Co 0.3403 0.1597 0.5000
Co3 Co 0.6597 0.8403 0.5000
Co4 Co 0.8403 0.3403 0.5000

***

(3)
# ZrNpTiRh, relaxed, DFT PBE
# **Total energy**: -36.4 eV per cell
# **Magnetization**: 3.7 μB/f.u.
# **Formation enthalpy at 0 K**: 0.081 eV per atom
# **Calculated volume**: 73 Å³ per cell
# **Space-group type**: F-43m, No. 216
data_ZrNpTiRh
_space_group_name_H-M_alt 'P 1'
_space_group_IT_number 1
_cell_length_a 4.6954
_cell_length_b 4.6954
_cell_length_c 4.6954
_cell_angle_alpha 60.00
_cell_angle_beta 60.00
_cell_angle_gamma 60.00
loop_
_space_group_symop_operation_xyz
'x,y,z'
loop_
_atom_site_label
_atom_site_type_symbol
_atom_site_fract_x
_atom_site_fract_y
_atom_site_fract_z
Zr1 Zr 0.0000 0.0000 0.0000
Np1 Np 0.2500 0.2500 0.2500
Ti1 Ti 0.5000 0.5000 0.5000
Rh1 Rh 0.7500 0.7500 0.7500

***

(4)
# LiNbTc3, relaxed, DFT PBE
# **E above lowest polymorph**: 726 meV/atom
# **Total energy**: -34.9 eV per cell
# **Magnetization**: 3.1 μB/f.u.
# **Formation enthalpy at 0 K**: 1.636 eV per atom
# **Calculated volume**: 108 Å³ per cell
# **Space-group type**: Pm-3m, No. 221
data_LiNbTc3
_space_group_name_H-M_alt 'P 1'
_space_group_IT_number 1
_cell_length_a 4.7691
_cell_length_b 4.7691
_cell_length_c 4.7691
_cell_angle_alpha 90.00
_cell_angle_beta 90.00
_cell_angle_gamma 90.00
loop_
_space_group_symop_operation_xyz
'x,y,z'
loop_
_atom_site_label
_atom_site_type_symbol
_atom_site_fract_x
_atom_site_fract_y
_atom_site_fract_z
Li1 Li 0.0000 0.0000 0.0000
Nb1 Nb 0.5000 0.5000 0.5000
Tc1 Tc 0.0000 0.5000 0.5000
Tc2 Tc 0.5000 0.0000 0.5000
Tc3 Tc 0.5000 0.5000 0.0000

***

(5)
# Mn2NbBi, relaxed, DFT PBE
# **Total energy**: -58.6 eV per cell
# **Magnetization**: 5.6 μB/f.u.
# **Formation enthalpy at 0 K**: 0.753 eV per atom
# **Calculated volume**: 159 Å³ per cell
# **Space-group type**: I-42d, No. 122
data_Mn2NbBi
_space_group_name_H-M_alt 'P 1'
_space_group_IT_number 1
_cell_length_a 9.8022
_cell_length_b 9.8022
_cell_length_c 9.8022
_cell_angle_alpha 155.69
_cell_angle_beta 155.69
_cell_angle_gamma 34.65
loop_
_space_group_symop_operation_xyz
'x,y,z'
loop_
_atom_site_label
_atom_site_type_symbol
_atom_site_fract_x
_atom_site_fract_y
_atom_site_fract_z
Mn1 Mn 0.1089 0.6250 0.9839
Mn2 Mn 0.3750 0.3589 0.4839
Mn3 Mn 0.6411 0.1250 0.0161
Mn4 Mn 0.8750 0.8911 0.5161
Nb1 Nb 0.0000 0.0000 0.0000
Nb2 Nb 0.7500 0.2500 0.5000
Bi1 Bi 0.2500 0.7500 0.5000
Bi2 Bi 0.5000 0.5000 0.0000

***

(6)
# NdZnPtRh, relaxed, DFT PBE
# **Total energy**: -21.8 eV per cell
# **Magnetization**: 0.0 μB/f.u.
# **Formation enthalpy at 0 K**: -0.582 eV per atom
# **Calculated volume**: 75 Å³ per cell
# **Space-group type**: F-43m, No. 216
data_NdZnPtRh
_space_group_name_H-M_alt 'P 1'
_space_group_IT_number 1
_cell_length_a 4.7251
_cell_length_b 4.7251
_cell_length_c 4.7251
_cell_angle_alpha 60.00
_cell_angle_beta 60.00
_cell_angle_gamma 60.00
loop_
_space_group_symop_operation_xyz
'x,y,z'
loop_
_atom_site_label
_atom_site_type_symbol
_atom_site_fract_x
_atom_site_fract_y
_atom_site_fract_z
Nd1 Nd 0.0000 0.0000 0.0000
Zn1 Zn 0.5000 0.5000 0.5000
Pt1 Pt 0.2500 0.2500 0.2500
Rh1 Rh 0.7500 0.7500 0.7500